VASP calculation (PBE) on U2VSe after structural relaxation.

Values from the calculation:
- D(E_F) (states/eV per cell) = 10.0
- raw formation energy (eV per atom) = 0.164
- SG = No. 166

Structure (CIF):
```
data_U2VSe
_space_group_name_H-M_alt 'P 1'
_space_group_IT_number 1
_cell_length_a 3.750
_cell_length_b 3.750
_cell_length_c 7.379
_cell_angle_alpha 75.28
_cell_angle_beta 75.28
_cell_angle_gamma 60.00
loop_
_space_group_symop_operation_xyz
'x,y,z'
loop_
_atom_site_label
_atom_site_fract_x
_atom_site_fract_y
_atom_site_fract_z
U1 0.241 0.241 0.277
U2 0.759 0.759 0.723
Se1 0.000 0.000 0.000
V1 0.500 0.500 0.500
```